VASP calculation (PBE+U) on a relaxed SrV4Cd3O12 crystal.

Values from the calculation:
Energy: -374.73 eV for the cell shown

Cell: 11.8379 11.8379 7.3878 Å, 90.00 90.00 120.00°
With the nearest neighbours (Å) after each atom.
Space group R32 (No. 155, hexagonal axes)
Unique sites:
Sr (0.0000, 0.0000, 0.0000) x3  6 O 2.87
V (0.0000, 0.0000, 0.5000) x3  3 O 1.72
V (0.0000, 0.4314, 0.5000) x9  3 O 1.73-1.84
Cd (0.0000, 0.5615, 0.0000) x9  6 O 2.22-2.34
O (0.0000, 0.5778, 0.5000) x9  1 V 1.73
O (0.0000, 0.8548, 0.5000) x9  1 V 1.72
O (0.0639, 0.2517, 0.1374) x18  1 V 1.84